Material: SmThAgHg
Method: DFT, GGA-PBE
State: relaxed

Cell: 5.3362 5.3362 5.3362 Å, 60.00 60.00 60.00°
Positions (direct):
Th1 0.0000 0.0000 0.0000
Ag1 0.2500 0.2500 0.2500
Hg1 0.7500 0.7500 0.7500
Sm1 0.5000 0.5000 0.5000

Values from the calculation:
Its space group is F-43m. The energy of formation is -0.218 eV per atom. For the magnetic moment, the calculation gives 0.64 μB per cell. The value obtained for the energy is -4.04 eV per atom.


Material: Sm2ThAg2Hg2
Method: DFT, GGA-PBE
State: relaxed

Cell: 4.9125 4.9125 9.3063 Å, 74.70 74.70 60.00°
Positions (direct):
Hg1 0.2603 0.2603 0.2191
Hg2 0.7397 0.7397 0.7809
Ag1 0.6031 0.6031 0.1907
Ag2 0.3969 0.3969 0.8093
Sm1 0.8766 0.8766 0.3702
Sm2 0.1234 0.1234 0.6298
Th1 0.0000 0.0000 0.0000

Values from the calculation:
Its space group is R-3m. The energy of formation is -0.191 eV per atom. For the magnetic moment, the calculation gives 0.00 μB per cell. The value obtained for the energy is -3.50 eV per atom.


Material: Sm4TlAg2Hg
Method: DFT, GGA-PBE
State: relaxed

Cell: 5.3358 5.3358 9.2468 Å, 73.23 73.23 60.00°
Positions (direct):
Sm1 0.8730 0.8730 0.3809
Sm2 0.1270 0.1270 0.6191
Sm3 0.3770 0.3770 0.8690
Sm4 0.6230 0.6230 0.1310
Hg1 0.5000 0.5000 0.5000
Ag1 0.2515 0.2515 0.2456
Ag2 0.7485 0.7485 0.7544
Tl1 0.0000 0.0000 0.0000

Values from the calculation:
Its space group is R-3m. The energy of formation is -0.348 eV per atom. For the magnetic moment, the calculation gives 0.44 μB per cell. The value obtained for the energy is -3.75 eV per atom.


Material: Sm2TmAgHg4
Method: DFT, GGA-PBE
State: relaxed

Cell: 5.1605 5.1605 9.1169 Å, 73.56 73.56 60.00°
Positions (direct):
Hg1 0.3702 0.3702 0.8894
Hg2 0.8771 0.8771 0.3687
Hg3 0.1229 0.1229 0.6313
Hg4 0.6298 0.6298 0.1106
Sm1 0.7572 0.7572 0.7285
Sm2 0.2428 0.2428 0.2715
Ag1 0.5000 0.5000 0.5000
Tm1 0.0000 0.0000 0.0000

Values from the calculation:
Its space group is R-3m. The energy of formation is -0.406 eV per atom. For the magnetic moment, the calculation gives 0.00 μB per cell. The value obtained for the energy is -2.65 eV per atom.


Material: Sm2YAg2Hg2
Method: DFT, GGA-PBE
State: relaxed

Cell: 4.8796 4.8796 9.2393 Å, 74.69 74.69 60.00°
Positions (direct):
Sm1 0.8767 0.8767 0.3700
Sm2 0.1233 0.1233 0.6300
Ag1 0.6055 0.6055 0.1834
Ag2 0.3945 0.3945 0.8166
Y1 0.0000 0.0000 0.0000
Hg1 0.7375 0.7375 0.7876
Hg2 0.2625 0.2625 0.2124

Values from the calculation:
Its space group is R-3m. The energy of formation is -0.239 eV per atom. For the magnetic moment, the calculation gives 0.00 μB per cell. The value obtained for the energy is -3.41 eV per atom.


Material: SmZnAgHg
Method: DFT, GGA-PBE
State: relaxed

Cell: 4.9552 4.9552 4.9552 Å, 60.00 60.00 60.00°
Positions (direct):
Hg1 0.0000 0.0000 0.0000
Zn1 0.5000 0.5000 0.5000
Sm1 0.7500 0.7500 0.7500
Ag1 0.2500 0.2500 0.2500

Values from the calculation:
Its space group is F-43m. The energy of formation is -0.298 eV per atom. For the magnetic moment, the calculation gives 0.00 μB per cell. The value obtained for the energy is -2.58 eV per atom.


Material: SmZrAgHg
Method: DFT, GGA-PBE
State: relaxed

Cell: 5.1251 5.1251 5.1251 Å, 60.00 60.00 60.00°
Positions (direct):
Hg1 0.5000 0.5000 0.5000
Ag1 0.0000 0.0000 0.0000
Zr1 0.7500 0.7500 0.7500
Sm1 0.2500 0.2500 0.2500

Values from the calculation:
Its space group is F-43m. The energy of formation is -0.147 eV per atom. For the magnetic moment, the calculation gives 1.27 μB per cell. The value obtained for the energy is -4.25 eV per atom.


Material: AgSn2Hg
Method: DFT, GGA-PBE
State: relaxed

Cell: 4.7052 4.7052 6.1936 Å, 67.68 67.68 60.00°
Positions (direct):
Ag1 0.6701 0.6701 0.9896
Hg1 0.4925 0.4925 0.5225
Sn1 0.0656 0.0656 0.8032
Sn2 0.2718 0.2718 0.1847

Values from the calculation:
Its space group is R3m. The energy of formation is 0.076 eV per atom. For the magnetic moment, the calculation gives 0.00 μB per cell. The value obtained for the energy is -2.71 eV per atom.


Material: Ag2SnHg2
Method: DFT, GGA-PBE
State: relaxed

Cell: 8.3836 8.3836 3.1788 Å, 90.00 90.00 90.00°
Positions (direct):
Hg1 0.8263 0.3263 0.5000
Hg2 0.3263 0.1737 0.5000
Hg3 0.6737 0.8263 0.5000
Hg4 0.1737 0.6737 0.5000
Ag1 0.3766 0.8766 0.0000
Ag2 0.8766 0.6234 0.0000
Ag3 0.6234 0.1234 0.0000
Ag4 0.1234 0.3766 0.0000
Sn1 0.0000 0.0000 0.0000
Sn2 0.5000 0.5000 0.0000

Values from the calculation:
Its space group is P4/mbm. The energy of formation is 0.097 eV per atom. For the magnetic moment, the calculation gives 0.00 μB per cell. The value obtained for the energy is -1.96 eV per atom.


Material: Ag6SnHg2
Method: DFT, GGA-PBE
State: relaxed

Cell: 4.2267 9.1603 9.1606 Å, 90.00 90.00 90.00°
Positions (direct):
Ag1 0.0000 0.0039 0.1605
Ag2 0.5000 0.1605 0.9960
Ag3 0.5001 0.8362 0.3363
Ag4 0.0000 0.9961 0.8395
Ag5 0.4999 0.1638 0.6637
Ag6 0.0001 0.6638 0.8363
Ag7 0.9999 0.3362 0.1637
Ag8 0.0000 0.6605 0.5040
Ag9 0.5000 0.4961 0.6605
Ag10 0.5000 0.8395 0.0040
Ag11 0.5000 0.5039 0.3395
Ag12 0.0000 0.3395 0.4960
Hg1 0.9999 0.3228 0.8227
Hg2 0.5001 0.8228 0.6773
Hg3 0.4999 0.1772 0.3227
Hg4 0.0001 0.6772 0.1773
Sn1 0.5000 0.5000 0.0000
Sn2 0.0000 0.0000 0.5000

Values from the calculation:
Its space group is P4_2/mnm. The energy of formation is 0.044 eV per atom. For the magnetic moment, the calculation gives 0.00 μB per cell. The value obtained for the energy is -2.37 eV per atom.